Entry 1:
# ZnIr2 | the Alexandria database | PBEsol | relaxed
data_ZnIr2
_symmetry_space_group_name_H-M 'P 1'
_symmetry_Int_Tables_number 1
_symmetry_space_group_name_Hall 'P 1'
_cell_length_a 6.004
_cell_length_b 6.004
_cell_length_c 6.004
_cell_angle_alpha 153.92
_cell_angle_beta 153.92
_cell_angle_gamma 37.22
loop_
_atom_site_label
_atom_site_type_symbol
_atom_site_fract_x
_atom_site_fract_y
_atom_site_fract_z
Zn1 Zn 0.000 0.000 0.000
Ir1 Ir 0.330 0.330 0.000
Ir2 Ir 0.670 0.670 0.000
# Magnetization: 0.000 μB/atom

=====

Entry 2:
# Zn3Ir | the Alexandria database | PBEsol | relaxed
data_Zn3Ir
_symmetry_space_group_name_H-M 'P 1'
_symmetry_Int_Tables_number 1
_symmetry_space_group_name_Hall 'P 1'
_cell_length_a 5.534
_cell_length_b 7.988
_cell_length_c 5.061
_cell_angle_alpha 90.00
_cell_angle_beta 90.00
_cell_angle_gamma 90.00
loop_
_atom_site_label
_atom_site_type_symbol
_atom_site_fract_x
_atom_site_fract_y
_atom_site_fract_z
Zn1 Zn 0.059 0.250 0.172
Zn2 Zn 0.236 0.026 0.524
Zn3 Zn 0.236 0.474 0.524
Zn4 Zn 0.264 0.526 0.024
Zn5 Zn 0.264 0.974 0.024
Zn6 Zn 0.441 0.750 0.672
Zn7 Zn 0.559 0.250 0.328
Zn8 Zn 0.736 0.026 0.976
Zn9 Zn 0.736 0.474 0.976
Zn10 Zn 0.764 0.526 0.476
Zn11 Zn 0.764 0.974 0.476
Zn12 Zn 0.941 0.750 0.828
Ir1 Ir 0.075 0.750 0.328
Ir2 Ir 0.425 0.250 0.828
Ir3 Ir 0.575 0.750 0.172
Ir4 Ir 0.925 0.250 0.672
# Magnetization: 0.000 μB/atom

=====

Entry 3:
# Zn7Ir | the Alexandria database | PBEsol | relaxed
data_Zn7Ir
_symmetry_space_group_name_H-M 'P 1'
_symmetry_Int_Tables_number 1
_symmetry_space_group_name_Hall 'P 1'
_cell_length_a 5.360
_cell_length_b 5.360
_cell_length_c 5.360
_cell_angle_alpha 60.00
_cell_angle_beta 60.00
_cell_angle_gamma 60.00
loop_
_atom_site_label
_atom_site_type_symbol
_atom_site_fract_x
_atom_site_fract_y
_atom_site_fract_z
Zn1 Zn 0.000 0.000 0.000
Zn2 Zn 0.000 0.000 0.500
Zn3 Zn 0.000 0.500 0.000
Zn4 Zn 0.000 0.500 0.500
Zn5 Zn 0.500 0.000 0.000
Zn6 Zn 0.500 0.000 0.500
Zn7 Zn 0.500 0.500 0.000
Ir1 Ir 0.500 0.500 0.500
# Magnetization: 0.000 μB/atom

=====

Entry 4:
# Zn5Ir | the Alexandria database | PBEsol | relaxed
data_Zn5Ir
_symmetry_space_group_name_H-M 'P 1'
_symmetry_Int_Tables_number 1
_symmetry_space_group_name_Hall 'P 1'
_cell_length_a 2.852
_cell_length_b 4.210
_cell_length_c 7.052
_cell_angle_alpha 90.00
_cell_angle_beta 101.73
_cell_angle_gamma 90.00
loop_
_atom_site_label
_atom_site_type_symbol
_atom_site_fract_x
_atom_site_fract_y
_atom_site_fract_z
Zn1 Zn 0.000 0.000 0.000
Zn2 Zn 0.112 0.500 0.225
Zn3 Zn 0.324 0.000 0.646
Zn4 Zn 0.441 0.500 0.883
Zn5 Zn 0.777 0.500 0.553
Ir1 Ir 0.664 0.000 0.326
# Magnetization: 0.000 μB/atom

=====

Entry 5:
# ZnIr | the Alexandria database | PBEsol | relaxed
data_ZnIr
_symmetry_space_group_name_H-M 'P 1'
_symmetry_Int_Tables_number 1
_symmetry_space_group_name_Hall 'P 1'
_cell_length_a 4.439
_cell_length_b 4.439
_cell_length_c 4.439
_cell_angle_alpha 36.31
_cell_angle_beta 36.31
_cell_angle_gamma 36.31
loop_
_atom_site_label
_atom_site_type_symbol
_atom_site_fract_x
_atom_site_fract_y
_atom_site_fract_z
Zn1 Zn 0.000 0.000 0.000
Ir1 Ir 0.500 0.500 0.500
# Magnetization: 0.000 μB/atom

=====

Entry 6:
# ZnIr3 | the Alexandria database | PBEsol | relaxed
data_ZnIr3
_symmetry_space_group_name_H-M 'P 1'
_symmetry_Int_Tables_number 1
_symmetry_space_group_name_Hall 'P 1'
_cell_length_a 5.422
_cell_length_b 13.222
_cell_length_c 4.642
_cell_angle_alpha 90.00
_cell_angle_beta 90.00
_cell_angle_gamma 90.00
loop_
_atom_site_label
_atom_site_type_symbol
_atom_site_fract_x
_atom_site_fract_y
_atom_site_fract_z
Zn1 Zn 0.250 0.084 0.165
Zn2 Zn 0.250 0.416 0.165
Zn3 Zn 0.250 0.750 0.505
Zn4 Zn 0.750 0.250 0.495
Zn5 Zn 0.750 0.584 0.835
Zn6 Zn 0.750 0.916 0.835
Ir1 Ir 0.002 0.583 0.336
Ir2 Ir 0.002 0.917 0.336
Ir3 Ir 0.003 0.250 0.001
Ir4 Ir 0.250 0.250 0.503
Ir5 Ir 0.250 0.582 0.836
Ir6 Ir 0.250 0.918 0.836
Ir7 Ir 0.497 0.250 0.001
Ir8 Ir 0.498 0.583 0.336
Ir9 Ir 0.498 0.917 0.336
Ir10 Ir 0.502 0.083 0.664
Ir11 Ir 0.502 0.417 0.664
Ir12 Ir 0.503 0.750 0.999
Ir13 Ir 0.750 0.082 0.164
Ir14 Ir 0.750 0.418 0.164
Ir15 Ir 0.750 0.750 0.497
Ir16 Ir 0.997 0.750 0.999
Ir17 Ir 0.998 0.083 0.664
Ir18 Ir 0.998 0.417 0.664
# Magnetization: 0.000 μB/atom

=====

| no. | electronic total energy (eV per atom) |
| --- | --- |
| 1 | -7.133 |
| 2 | -3.784 |
| 3 | -2.711 |
| 4 | -3.063 |
| 5 | -5.854 |
| 6 | -7.767 |